This record from Alexandria describes a geometry-optimized Mg2Sc3Tl6 structure. The functional is PBE.

Computed properties:
- Total magnetic moment: 0.0000 μB/atom
- Space group: No. 139
- Energy relative to the elements: 0.032 eV/atom

Cell: 14.6213 14.6213 14.6213 Å, 162.08 162.08 25.45°
Closest atoms and distances in Å follow each position.
Element x y z (fractional)
1 Mg 0.1423 0.1423 0.0000  5 Tl 2.85-3.05
2 Mg 0.8577 0.8577 0.0000  5 Tl 2.85-3.05
3 Sc 0.3494 0.3494 0.0000  5 Tl 3.05-3.22, 4 Mg 3.23
4 Sc 0.5000 0.5000 0.0000  8 Tl 3.05
5 Sc 0.6506 0.6506 0.0000  5 Tl 3.05-3.22, 4 Mg 3.23
6 Tl 0.0709 0.5709 0.5000  4 Sc 3.05-3.22, 2 Mg 3.05, 4 Tl 3.22
7 Tl 0.2423 0.2423 0.0000  1 Mg 2.85, 1 Sc 3.05
8 Tl 0.4291 0.9291 0.5000  4 Sc 3.05-3.22, 2 Mg 3.05, 4 Tl 3.22
9 Tl 0.5709 0.0709 0.5000  4 Sc 3.05-3.22, 2 Mg 3.05, 4 Tl 3.22
10 Tl 0.7577 0.7577 0.0000  1 Mg 2.85, 1 Sc 3.05
11 Tl 0.9291 0.4291 0.5000  4 Sc 3.05-3.22, 2 Mg 3.05, 4 Tl 3.22